Version i
# LiMnCu2

A geometry-optimized LiMnCu2 structure (PBE-GGA, the Alexandria database).

Results
Fermi-level density of states = 0.4168 states/eV per atom
crystal system = tetragonal
total moment = 3.75 μB per formula unit

Unit cell a=3.7928 b=3.7928 c=7.1167 alpha=90.00 beta=90.00 gamma=90.00
Space group I4/mmm (No. 139)
Asymmetric unit:
Li 0.0000 0.0000 0.0000 (multiplicity 2)
Mn 0.0000 0.0000 0.5000 (multiplicity 2)
Cu 0.0000 0.5000 0.2500 (multiplicity 4)

Version ii
# LiMnCu2

A geometry-optimized LiMnCu2 structure (PBE-GGA, the Alexandria database).

Results
Fermi-level density of states = 0.7737 states/eV per atom
crystal system = cubic
total moment = 3.62 μB per formula unit

Unit cell a=5.8711 b=5.8711 c=5.8711 alpha=90.00 beta=90.00 gamma=90.00
Space group F-43m (No. 216)
Asymmetric unit:
Li 0.0000 0.0000 0.0000 (multiplicity 4)
Mn 0.2500 0.2500 0.7500 (multiplicity 4)
Cu 0.0000 0.0000 0.5000 (multiplicity 4)
Cu 0.2500 0.2500 0.2500 (multiplicity 4)

Top of the stability list: version i, leading by 36 meV per atom.

Version i
# Li3MnCu

A geometry-optimized Li3MnCu structure (PBE-GGA, the Alexandria database).

Results
Fermi-level density of states = 0.9392 states/eV per atom
crystal system = cubic
total moment = 3.77 μB per formula unit

Unit cell a=4.7104 b=4.7104 c=4.7104 alpha=90.00 beta=90.00 gamma=90.00
Space group Pm-3m (No. 221)
Asymmetric unit:
Li 0.0000 0.0000 0.5000 (multiplicity 3)
Mn 0.0000 0.0000 0.0000 (multiplicity 1)
Cu 0.5000 0.5000 0.5000 (multiplicity 1)

Version ii
# Li3MnCu

A geometry-optimized Li3MnCu structure (PBE-GGA, the Alexandria database).

Results
Fermi-level density of states = 0.7305 states/eV per atom
crystal system = cubic
total moment = 4.21 μB per formula unit

Unit cell a=4.5547 b=4.5547 c=4.5547 alpha=90.00 beta=90.00 gamma=90.00
Space group Pm-3m (No. 221)
Asymmetric unit:
Li 0.0000 0.0000 0.5000 (multiplicity 3)
Mn 0.5000 0.5000 0.5000 (multiplicity 1)
Cu 0.0000 0.0000 0.0000 (multiplicity 1)

Top of the stability list: version ii, leading by 402 meV per atom.